# 1
First-principles (PBE-GGA) data for crystalline Na3Mg2RhO6 at its relaxed geometry, as listed in the Alexandria database.

Computed properties:
As for the space group: No. 12.

a b c (Å): 5.3380 5.3380 5.6769
angles (deg): 99.06 99.06 120.02
Last column: nearest neighbours and their distance in Å.
Fractional coordinates of all 12 atoms:
Mg 0.3331 0.6669 0.0000  6 O 2.12-2.13
Mg 0.6669 0.3331 0.0000  6 O 2.12-2.13
O 0.6131 0.9322 0.7964  1 Rh 2.02, 2 Mg 2.12-2.13
O 0.0678 0.3869 0.2036  1 Rh 2.02, 2 Mg 2.12-2.13
O 0.9322 0.6131 0.7964  1 Rh 2.02, 2 Mg 2.12-2.13
O 0.3869 0.0678 0.2036  1 Rh 2.02, 2 Mg 2.12-2.13
O 0.2508 0.2508 0.7983  1 Rh 2.02, 2 Mg 2.12
O 0.7492 0.7492 0.2017  1 Rh 2.02, 2 Mg 2.12
Na 0.5000 0.5000 0.5000  6 O 2.36-2.46
Na 0.8322 0.1678 0.5000  6 O 2.37-2.44
Na 0.1678 0.8322 0.5000  6 O 2.37-2.44
Rh 0.0000 0.0000 0.0000  6 O 2.02

# 2
First-principles (PBE-GGA) data for crystalline NaMgRhO3 at its relaxed geometry, as listed in the Alexandria database.

Computed properties:
As for the space group: No. 11.

a b c (Å): 3.3005 6.0414 9.5395
angles (deg): 115.11 90.00 90.00
Last column: nearest neighbours and their distance in Å.
Fractional coordinates of all 12 atoms:
Na 0.2500 0.2024 0.1289  5 O 2.35-2.55
Na 0.7500 0.7976 0.8711  5 O 2.35-2.55
O 0.7500 0.9385 0.1636  1 Mg 1.99, 2 Rh 2.16
O 0.7500 0.1760 0.6164  3 Mg 1.93-2.02, 1 Rh 2.15
O 0.2500 0.5421 0.8982  3 Rh 2.06-2.11
O 0.7500 0.4579 0.1018  3 Rh 2.06-2.11
O 0.2500 0.0615 0.8364  1 Mg 1.99, 2 Rh 2.16
O 0.2500 0.8240 0.3836  3 Mg 1.93-2.02, 1 Rh 2.15
Rh 0.2500 0.6928 0.1362  6 O 2.06-2.16
Rh 0.7500 0.3072 0.8638  6 O 2.06-2.16
Mg 0.7500 0.9904 0.3838  4 O 1.93-2.02
Mg 0.2500 0.0096 0.6162  4 O 1.93-2.02

# 3
First-principles (PBE-GGA) data for crystalline NaMg2Rh3O8 at its relaxed geometry, as listed in the Alexandria database.

Computed properties:
As for the space group: No. 160.

a b c (Å): 6.2313 6.2313 6.0994
angles (deg): 59.28 59.28 60.00
Last column: nearest neighbours and their distance in Å.
Fractional coordinates of all 14 atoms:
O 0.7165 0.2575 0.7685  2 Mg 2.03-2.11, 2 Rh 2.09
O 0.2575 0.2575 0.7685  2 Mg 2.03-2.11, 2 Rh 2.09
O 0.2575 0.7165 0.7685  2 Mg 2.03-2.11, 2 Rh 2.09
O 0.7309 0.7309 0.8074  3 Rh 2.03, 1 Na 2.17
O 0.3019 0.7404 0.2173  2 Rh 1.99, 1 Mg 2.11, 1 Na 2.15
O 0.2583 0.2583 0.2252  1 Mg 2.09, 3 Rh 2.11
O 0.7404 0.7404 0.2173  2 Rh 1.99, 1 Mg 2.11, 1 Na 2.15
O 0.7404 0.3019 0.2173  2 Rh 1.99, 1 Mg 2.11, 1 Na 2.15
Rh 0.4997 0.4997 0.0041  6 O 1.99-2.11
Rh 0.9966 0.4997 0.0041  6 O 1.99-2.11
Rh 0.4997 0.9966 0.0041  6 O 1.99-2.11
Mg 0.1167 0.1167 0.6499  4 O 2.03-2.09
Mg 0.4990 0.4990 0.5029  6 O 2.11
Na 0.8777 0.8777 0.3668  4 O 2.15-2.17

# 4
First-principles (PBE-GGA) data for crystalline Na2Mg2RuO6 at its relaxed geometry, as listed in the Alexandria database.

Computed properties:
As for the space group: No. 12.

a b c (Å): 5.2305 5.2305 5.8089
angles (deg): 99.32 99.32 118.64
Last column: nearest neighbours and their distance in Å.
Fractional coordinates of all 11 atoms:
Mg 0.3374 0.6626 0.5000  6 O 2.08-2.14
Mg 0.6626 0.3374 0.5000  6 O 2.08-2.14
O 0.9389 0.6221 0.3066  1 Ru 1.96, 2 Mg 2.10-2.14
O 0.0611 0.3779 0.6934  1 Ru 1.96, 2 Mg 2.10-2.14
O 0.2414 0.2414 0.3054  1 Ru 1.97, 2 Mg 2.08
O 0.6221 0.9389 0.3066  1 Ru 1.96, 2 Mg 2.10-2.14
O 0.3779 0.0611 0.6934  1 Ru 1.96, 2 Mg 2.10-2.14
O 0.7586 0.7586 0.6946  1 Ru 1.97, 2 Mg 2.08
Na 0.1710 0.8290 0.0000  6 O 2.39-2.46
Na 0.8290 0.1710 0.0000  6 O 2.39-2.46
Ru 0.0000 0.0000 0.5000  6 O 1.96-1.97

# 5
First-principles (PBE-GGA) data for crystalline Na2MgRuO6 at its relaxed geometry, as listed in the Alexandria database.

Computed properties:
As for the space group: No. 14.

a b c (Å): 5.4249 5.5079 7.7267
angles (deg): 90.00 90.15 90.00
Last column: nearest neighbours and their distance in Å.
Fractional coordinates of all 20 atoms:
Na 0.9928 0.0362 0.7496  6 O 2.38-2.66
Na 0.4928 0.4638 0.2496  6 O 2.38-2.66
Na 0.0072 0.9638 0.2504  6 O 2.38-2.66
Na 0.5072 0.5362 0.7504  6 O 2.38-2.66
O 0.0724 0.4839 0.7622  1 Ru 1.88, 1 Mg 2.06
O 0.8057 0.7786 0.9612  1 Ru 1.89, 1 Mg 2.08
O 0.1943 0.2214 0.0388  1 Ru 1.89, 1 Mg 2.08
O 0.6943 0.2786 0.5388  1 Ru 1.89, 1 Mg 2.08
O 0.3057 0.7214 0.4612  1 Ru 1.89, 1 Mg 2.08
O 0.4276 0.9839 0.7378  1 Ru 1.88, 1 Mg 2.06
O 0.9276 0.5161 0.2378  1 Ru 1.88, 1 Mg 2.06
O 0.5724 0.0161 0.2622  1 Ru 1.88, 1 Mg 2.06
O 0.7212 0.3027 0.9638  1 Ru 1.88, 1 Mg 2.07
O 0.2212 0.1973 0.4638  1 Ru 1.88, 1 Mg 2.07
O 0.2788 0.6973 0.0362  1 Ru 1.88, 1 Mg 2.07
O 0.7788 0.8027 0.5362  1 Ru 1.88, 1 Mg 2.07
Mg 0.0000 0.5000 0.5000  6 O 2.06-2.08
Mg 0.5000 0.0000 0.0000  6 O 2.06-2.08
Ru 0.5000 0.0000 0.5000  6 O 1.88-1.89
Ru 0.0000 0.5000 0.0000  6 O 1.88-1.89

# 6
First-principles (PBE-GGA) data for crystalline Na3Mg2RuO6 at its relaxed geometry, as listed in the Alexandria database.

Computed properties:
As for the space group: No. 12.

a b c (Å): 5.3355 5.3355 5.6918
angles (deg): 99.04 99.04 119.99
Last column: nearest neighbours and their distance in Å.
Fractional coordinates of all 12 atoms:
O 0.2486 0.2486 0.7988  1 Ru 2.01, 2 Mg 2.13
O 0.6158 0.9324 0.7972  1 Ru 2.01, 2 Mg 2.13
O 0.7514 0.7514 0.2012  1 Ru 2.01, 2 Mg 2.13
O 0.9324 0.6158 0.7972  1 Ru 2.01, 2 Mg 2.13
O 0.3842 0.0676 0.2028  1 Ru 2.01, 2 Mg 2.13
O 0.0676 0.3842 0.2028  1 Ru 2.01, 2 Mg 2.13
Na 0.5000 0.5000 0.5000  6 O 2.36-2.47
Na 0.1687 0.8313 0.5000  6 O 2.37-2.45
Na 0.8313 0.1687 0.5000  6 O 2.37-2.45
Ru 0.0000 0.0000 0.0000  6 O 2.01
Mg 0.6667 0.3333 0.0000  6 O 2.13
Mg 0.3333 0.6667 0.0000  6 O 2.13

# 7
First-principles (PBE-GGA) data for crystalline NaMg2S3O12 at its relaxed geometry, as listed in the Alexandria database.

Computed properties:
As for the space group: No. 167.

a b c (Å): 8.6763 8.6802 8.9976
angles (deg): 61.16 61.17 60.01
Last column: nearest neighbours and their distance in Å.
Fractional coordinates of all 36 atoms:
Na 0.5000 0.5000 0.0000  6 O 2.49-2.50
Na 0.0000 0.0000 0.5000  6 O 2.49-2.50
O 0.7102 0.4878 0.4131  1 S 1.47
O 0.9881 0.2098 0.9129  1 S 1.47
O 0.0119 0.7902 0.0871  1 S 1.47
O 0.1108 0.2902 0.5871  1 S 1.47
O 0.5877 0.4304 0.2580  1 S 1.49
O 0.6110 0.0122 0.0869  1 S 1.47
O 0.2898 0.5122 0.5869  1 S 1.47
O 0.9305 0.0877 0.7577  1 S 1.49
O 0.3890 0.9878 0.9131  1 S 1.47
O 0.0695 0.9123 0.2423  1 S 1.49
O 0.5116 0.1111 0.5874  1 S 1.47
O 0.0875 0.7238 0.7581  1 S 1.49
O 0.2241 0.5877 0.2577  1 S 1.49
O 0.7899 0.6111 0.0874  1 S 1.47
O 0.5695 0.7762 0.7419  1 S 1.49
O 0.8892 0.7098 0.4129  1 S 1.47
O 0.9125 0.2762 0.2419  1 S 1.49
O 0.7759 0.4123 0.7423  1 S 1.49
O 0.2101 0.3889 0.9126  1 S 1.47
O 0.2761 0.0696 0.2420  1 S 1.49
O 0.4884 0.8889 0.4126  1 S 1.47
O 0.4123 0.5696 0.7420  1 S 1.49
O 0.4305 0.2238 0.2581  1 S 1.49
O 0.7239 0.9304 0.7580  1 S 1.49
Mg 0.3516 0.3518 0.4449  6 O 2.04-2.11
Mg 0.6484 0.6482 0.5551  6 O 2.04-2.11
Mg 0.1483 0.1482 0.0551  6 O 2.04-2.11
Mg 0.8517 0.8518 0.9449  6 O 2.04-2.11
S 0.9554 0.2500 0.7500  4 O 1.47-1.49
S 0.4556 0.0446 0.2499  4 O 1.47-1.49
S 0.7501 0.4554 0.2501  4 O 1.47-1.49
S 0.5444 0.9554 0.7501  4 O 1.47-1.49
S 0.2499 0.5446 0.7499  4 O 1.47-1.49
S 0.0446 0.7500 0.2500  4 O 1.47-1.49

# 8
First-principles (PBE-GGA) data for crystalline NaMgS2O8 at its relaxed geometry, as listed in the Alexandria database.

Computed properties:
As for the space group: No. 164.

a b c (Å): 5.2109 5.2109 6.8687
angles (deg): 90.00 90.00 120.00
Last column: nearest neighbours and their distance in Å.
Fractional coordinates of all 12 atoms:
O 0.1774 0.8213 0.6873  1 S 1.48
O 0.3561 0.1774 0.3127  1 S 1.48
O 0.3333 0.6667 0.9726  1 S 1.48
O 0.8226 0.1787 0.3127  1 S 1.48
O 0.1787 0.3561 0.6873  1 S 1.48
O 0.8213 0.6439 0.3127  1 S 1.48
O 0.6439 0.8226 0.6873  1 S 1.48
O 0.6667 0.3333 0.0274  1 S 1.48
S 0.6667 0.3333 0.2423  4 O 1.48
S 0.3333 0.6667 0.7577  4 O 1.48
Mg 0.0000 0.0000 0.5000  6 O 2.06
Na 0.0000 0.0000 0.0000  6 O 2.68

| no. | E_form (uncorrected) (eV per atom) | density (g/cm3) | spin magnetization (μB/atom) |
| --- | --- | --- | --- |
| 1 | -1.72 | 4.0 | 0.1688 |
| 2 | -1.43 | 3.8 | 0.0000 |
| 3 | -1.39 | 5.1 | 0.0001 |
| 4 | -1.72 | 3.7 | 0.1829 |
| 5 | -1.32 | 3.8 | 0.0000 |
| 6 | -1.82 | 3.9 | 0.2500 |
| 7 | -1.78 | 2.5 | 0.0614 |
| 8 | -1.65 | 2.5 | 0.0865 |